First-principles (PBE) data for a relaxed structure of MgTaW3, as listed in Alexandria.

Results
The mass density is 11.21 Mg/m³. The value obtained for the formation enthalpy at 0 K is 2.07 eV/atom.

Structure (CIF):
```
data_MgTaW3
_chemical_formula_sum 'Mg1 Ta1 W3'
_cell_length_a 4.8210
_cell_length_b 4.8210
_cell_length_c 4.8210
_cell_angle_alpha 90.00
_cell_angle_beta 90.00
_cell_angle_gamma 90.00
_space_group_name_H-M_alt 'P m -3 m'
_space_group_IT_number 221
_space_group_name_Hall '-P 4 2 3'
loop_
_atom_site_label
_atom_site_fract_x
_atom_site_fract_y
_atom_site_fract_z
Mg1 0.0000 0.0000 0.0000
Ta1 0.5000 0.5000 0.5000
W1 0.0000 0.5000 0.5000
```